# 1
# LaB2F (PBE, relaxed)
# Crystal system   cubic
# E_form (uncorrected)   0.58 eV/atom
# M_tot   0.0 μB/cell
# E above lowest polymorph   1.417 eV/atom
data_LaB2F
_chemical_formula_sum 'La4 B8 F4'
_symmetry_space_group_name_H-M 'F m -3 m'
_symmetry_Int_Tables_number 225
_symmetry_space_group_name_Hall '-F 4 2 3'
_cell_length_a 6.267
_cell_length_b 6.267
_cell_length_c 6.267
_cell_angle_alpha 90.00
_cell_angle_beta 90.00
_cell_angle_gamma 90.00
loop_
_atom_site_label
_atom_site_type_symbol
_atom_site_fract_x
_atom_site_fract_y
_atom_site_fract_z
La1 La 0.000 0.000 0.000
B1 B 0.250 0.250 0.250
F1 F 0.000 0.000 0.500

---

# 2
# LaBF2 (PBE, relaxed)
# Crystal system   cubic
# E_form (uncorrected)   -1.46 eV/atom
# M_tot   8.0 μB/cell
# E above lowest polymorph   0.114 eV/atom
data_LaBF2
_chemical_formula_sum 'La4 B4 F8'
_symmetry_space_group_name_H-M 'F m -3 m'
_symmetry_Int_Tables_number 225
_symmetry_space_group_name_Hall '-F 4 2 3'
_cell_length_a 6.167
_cell_length_b 6.167
_cell_length_c 6.167
_cell_angle_alpha 90.00
_cell_angle_beta 90.00
_cell_angle_gamma 90.00
loop_
_atom_site_label
_atom_site_type_symbol
_atom_site_fract_x
_atom_site_fract_y
_atom_site_fract_z
La1 La 0.000 0.000 0.000
B1 B 0.000 0.000 0.500
F1 F 0.250 0.250 0.250

---

# 3
# LaBF (PBE, relaxed)
# Crystal system   trigonal
# E_form (uncorrected)   -1.84 eV/atom
# M_tot   0.0 μB/cell
# E above lowest polymorph   0.000 eV/atom
data_LaBF
_chemical_formula_sum 'La6 B6 F6'
_symmetry_space_group_name_H-M 'R -3 m'
_symmetry_Int_Tables_number 166
_symmetry_space_group_name_Hall '-R 3 2"'
_cell_length_a 3.5652
_cell_length_b 3.5652
_cell_length_c 26.2948
_cell_angle_alpha 90.00
_cell_angle_beta 90.00
_cell_angle_gamma 120.00
loop_
_atom_site_label
_atom_site_type_symbol
_atom_site_fract_x
_atom_site_fract_y
_atom_site_fract_z
La1 La 0.0000 0.0000 0.0759
B1 B 0.0000 0.0000 0.3337
F1 F 0.0000 0.0000 0.2050

---

# 4
# LaB2F8 (PBE, relaxed)
# Crystal system   monoclinic
# E_form (uncorrected)   -2.97 eV/atom
# M_tot   2.0 μB/cell
data_LaB2F8
_chemical_formula_sum 'La2 B4 F16'
_symmetry_space_group_name_H-M 'C 1 2/m 1'
_symmetry_Int_Tables_number 12
_symmetry_space_group_name_Hall '-C 2y'
_cell_length_a 10.045
_cell_length_b 5.078
_cell_length_c 6.275
_cell_angle_alpha 90.00
_cell_angle_beta 114.57
_cell_angle_gamma 90.00
loop_
_atom_site_label
_atom_site_type_symbol
_atom_site_fract_x
_atom_site_fract_y
_atom_site_fract_z
La1 La 0.000 0.000 0.000
B1 B 0.197 0.000 0.694
F1 F 0.138 0.224 0.758
F2 F 0.146 0.500 0.181
F3 F 0.161 0.000 0.451

---

# 5
# LaB3F (PBE, relaxed)
# Crystal system   cubic
# E_form (uncorrected)   1.10 eV/atom
# M_tot   0.0 μB/cell
# E above lowest polymorph   0.000 eV/atom
data_LaB3F
_chemical_formula_sum 'La1 B3 F1'
_symmetry_space_group_name_H-M 'P m -3 m'
_symmetry_Int_Tables_number 221
_symmetry_space_group_name_Hall '-P 4 2 3'
_cell_length_a 4.169
_cell_length_b 4.169
_cell_length_c 4.169
_cell_angle_alpha 90.00
_cell_angle_beta 90.00
_cell_angle_gamma 90.00
loop_
_atom_site_label
_atom_site_type_symbol
_atom_site_fract_x
_atom_site_fract_y
_atom_site_fract_z
La1 La 0.000 0.000 0.000
B1 B 0.000 0.500 0.500
F1 F 0.500 0.500 0.500

---

# 6
# LaBF2 (PBE, relaxed)
# Crystal system   trigonal
# E_form (uncorrected)   -1.57 eV/atom
# M_tot   5.1 μB/cell
# E above lowest polymorph   0.000 eV/atom
data_LaBF2
_chemical_formula_sum 'La3 B3 F6'
_symmetry_space_group_name_H-M 'R -3 m'
_symmetry_Int_Tables_number 166
_symmetry_space_group_name_Hall '-R 3 2"'
_cell_length_a 4.3074
_cell_length_b 4.3074
_cell_length_c 12.2544
_cell_angle_alpha 90.00
_cell_angle_beta 90.00
_cell_angle_gamma 120.00
loop_
_atom_site_label
_atom_site_type_symbol
_atom_site_fract_x
_atom_site_fract_y
_atom_site_fract_z
La1 La 0.0000 0.0000 0.0000
B1 B 0.0000 0.0000 0.5000
F1 F 0.0000 0.0000 0.3158

---

# 7
# LaBF2 (PBE, relaxed)
# Crystal system   tetragonal
# E_form (uncorrected)   -1.54 eV/atom
# M_tot   0.0 μB/cell
# E above lowest polymorph   0.036 eV/atom
data_LaBF2
_chemical_formula_sum 'La4 B4 F8'
_symmetry_space_group_name_H-M 'I -4 2 d'
_symmetry_Int_Tables_number 122
_symmetry_space_group_name_Hall 'I -4 2bw'
_cell_length_a 4.099
_cell_length_b 4.099
_cell_length_c 16.028
_cell_angle_alpha 90.00
_cell_angle_beta 90.00
_cell_angle_gamma 90.00
loop_
_atom_site_label
_atom_site_type_symbol
_atom_site_fract_x
_atom_site_fract_y
_atom_site_fract_z
La1 La 0.000 0.000 0.000
B1 B 0.000 0.000 0.500
F1 F 0.218 0.250 0.125

---

# 8
# LaB2F (PBE, relaxed)
# Crystal system   tetragonal
# E_form (uncorrected)   -0.84 eV/atom
# M_tot   0.0 μB/cell
# E above lowest polymorph   0.000 eV/atom
data_LaB2F
_chemical_formula_sum 'La4 B8 F4'
_symmetry_space_group_name_H-M 'I 41/a m d'
_symmetry_Int_Tables_number 141
_cell_length_a 3.383
_cell_length_b 3.383
_cell_length_c 20.949
_cell_angle_alpha 90.00
_cell_angle_beta 90.00
_cell_angle_gamma 90.00
loop_
_symmetry_equiv_pos_as_xyz
'x,y,z'
'-x,-y,-z'
'-y+1/4,x+3/4,z+1/4'
'y+1/4,-x+3/4,-z+1/4'
'-x+1/2,-y,z+1/2'
'x+1/2,y,-z+1/2'
'y+1/4,-x+1/4,z+3/4'
'-y+1/4,x+1/4,-z+3/4'
'x,-y,-z'
'-x,y,z'
'-y+1/4,-x+1/4,-z+3/4'
'y+1/4,x+1/4,z+3/4'
'-x+1/2,y,-z+1/2'
'x+1/2,-y,z+1/2'
'y+1/4,x+3/4,-z+1/4'
'-y+1/4,-x+3/4,z+1/4'
'x+1/2,y+1/2,z+1/2'
'-x+1/2,-y+1/2,-z+1/2'
'-y+3/4,x+1/4,z+3/4'
'y+3/4,-x+1/4,-z+3/4'
'-x,-y+1/2,z'
'x,y+1/2,-z'
'y+3/4,-x+3/4,z+1/4'
'-y+3/4,x+3/4,-z+1/4'
'x+1/2,-y+1/2,-z+1/2'
'-x+1/2,y+1/2,z+1/2'
'-y+3/4,-x+3/4,-z+1/4'
'y+3/4,x+3/4,z+1/4'
'-x,y+1/2,-z'
'x,-y+1/2,z'
'y+3/4,x+1/4,-z+3/4'
'-y+3/4,-x+1/4,z+3/4'
loop_
_atom_site_label
_atom_site_type_symbol
_atom_site_fract_x
_atom_site_fract_y
_atom_site_fract_z
La1 La 0.000 0.250 0.375
B1 B 0.000 0.000 0.000
F1 F 0.000 0.250 0.875

---

# 9
# LaBF (PBE, relaxed)
# Crystal system   orthorhombic
# E_form (uncorrected)   -1.50 eV/atom
# M_tot   0.0 μB/cell
# E above lowest polymorph   0.340 eV/atom
data_LaBF
_chemical_formula_sum 'La4 B4 F4'
_symmetry_space_group_name_H-M 'I m m m'
_symmetry_Int_Tables_number 71
_symmetry_space_group_name_Hall '-I 2 2'
_cell_length_a 3.202
_cell_length_b 4.073
_cell_length_c 17.033
_cell_angle_alpha 90.00
_cell_angle_beta 90.00
_cell_angle_gamma 90.00
loop_
_atom_site_label
_atom_site_type_symbol
_atom_site_fract_x
_atom_site_fract_y
_atom_site_fract_z
La1 La 0.000 0.000 0.147
B1 B 0.247 0.000 0.000
F1 F 0.000 0.000 0.318

---

# 10
# LaB3F (PBE, relaxed)
# Crystal system   cubic
# E_form (uncorrected)   2.25 eV/atom
# M_tot   0.0 μB/cell
# E above lowest polymorph   1.144 eV/atom
data_LaB3F
_chemical_formula_sum 'La1 B3 F1'
_symmetry_space_group_name_H-M 'P m -3 m'
_symmetry_Int_Tables_number 221
_symmetry_space_group_name_Hall '-P 4 2 3'
_cell_length_a 5.128
_cell_length_b 5.128
_cell_length_c 5.128
_cell_angle_alpha 90.00
_cell_angle_beta 90.00
_cell_angle_gamma 90.00
loop_
_atom_site_label
_atom_site_type_symbol
_atom_site_fract_x
_atom_site_fract_y
_atom_site_fract_z
La1 La 0.000 0.000 0.000
B1 B 0.000 0.000 0.500
F1 F 0.500 0.500 0.500

---

# 11
# LiLaBF2 (PBE, relaxed)
# Crystal system   tetragonal
# E_form (uncorrected)   -1.07 eV/atom
# M_tot   0.6 μB/cell
data_LiLaBF2
_chemical_formula_sum 'Li1 La1 B1 F2'
_symmetry_space_group_name_H-M 'P 4/m m m'
_symmetry_Int_Tables_number 123
_symmetry_space_group_name_Hall '-P 4 2'
_cell_length_a 4.465
_cell_length_b 4.465
_cell_length_c 7.007
_cell_angle_alpha 90.00
_cell_angle_beta 90.00
_cell_angle_gamma 90.00
loop_
_atom_site_label
_atom_site_type_symbol
_atom_site_fract_x
_atom_site_fract_y
_atom_site_fract_z
Li1 Li 0.000 0.000 0.000
La1 La 0.000 0.000 0.500
B1 B 0.500 0.500 0.000
F1 F 0.000 0.500 0.500

---

# 12
# LaBOF2 (PBE, relaxed)
# Crystal system   tetragonal
# E_form (uncorrected)   -1.58 eV/atom
# M_tot   0.0 μB/cell
# E above lowest polymorph   0.184 eV/atom
data_LaBOF2
_chemical_formula_sum 'La1 B1 O1 F2'
_symmetry_space_group_name_H-M 'P 4/m m m'
_symmetry_Int_Tables_number 123
_symmetry_space_group_name_Hall '-P 4 2'
_cell_length_a 4.686
_cell_length_b 4.686
_cell_length_c 4.625
_cell_angle_alpha 90.00
_cell_angle_beta 90.00
_cell_angle_gamma 90.00
loop_
_atom_site_label
_atom_site_type_symbol
_atom_site_fract_x
_atom_site_fract_y
_atom_site_fract_z
La1 La 0.000 0.000 0.000
B1 B 0.500 0.500 0.500
O1 O 0.000 0.000 0.500
F1 F 0.000 0.500 0.000

---

# 13
# LaBOF2 (PBE, relaxed)
# Crystal system   tetragonal
# E_form (uncorrected)   -1.77 eV/atom
# M_tot   0.0 μB/cell
# E above lowest polymorph   0.000 eV/atom
data_LaBOF2
_chemical_formula_sum 'La1 B1 O1 F2'
_symmetry_space_group_name_H-M 'P 4/m m m'
_symmetry_Int_Tables_number 123
_symmetry_space_group_name_Hall '-P 4 2'
_cell_length_a 4.564
_cell_length_b 4.564
_cell_length_c 2.976
_cell_angle_alpha 90.00
_cell_angle_beta 90.00
_cell_angle_gamma 90.00
loop_
_atom_site_label
_atom_site_type_symbol
_atom_site_fract_x
_atom_site_fract_y
_atom_site_fract_z
La1 La 0.000 0.000 0.000
B1 B 0.500 0.500 0.500
O1 O 0.500 0.500 0.000
F1 F 0.000 0.500 0.500

---

# 14
# LaRe2BF (PBE, relaxed)
# Crystal system   tetragonal
# E_form (uncorrected)   1.24 eV/atom
# M_tot   0.0 μB/cell
data_LaRe2BF
_chemical_formula_sum 'La1 Re2 B1 F1'
_symmetry_space_group_name_H-M 'P 4/m m m'
_symmetry_Int_Tables_number 123
_symmetry_space_group_name_Hall '-P 4 2'
_cell_length_a 4.192
_cell_length_b 4.192
_cell_length_c 4.843
_cell_angle_alpha 90.00
_cell_angle_beta 90.00
_cell_angle_gamma 90.00
loop_
_atom_site_label
_atom_site_type_symbol
_atom_site_fract_x
_atom_site_fract_y
_atom_site_fract_z
La1 La 0.000 0.000 0.000
Re1 Re 0.000 0.500 0.500
B1 B 0.500 0.500 0.000
F1 F 0.000 0.000 0.500

---

# 15
# LaBRuF2 (PBE, relaxed)
# Crystal system   tetragonal
# E_form (uncorrected)   -0.79 eV/atom
# M_tot   0.0 μB/cell
data_LaBRuF2
_chemical_formula_sum 'La1 B1 Ru1 F2'
_symmetry_space_group_name_H-M 'P 4/m m m'
_symmetry_Int_Tables_number 123
_symmetry_space_group_name_Hall '-P 4 2'
_cell_length_a 4.071
_cell_length_b 4.071
_cell_length_c 4.302
_cell_angle_alpha 90.00
_cell_angle_beta 90.00
_cell_angle_gamma 90.00
loop_
_atom_site_label
_atom_site_type_symbol
_atom_site_fract_x
_atom_site_fract_y
_atom_site_fract_z
La1 La 0.000 0.000 0.000
B1 B 0.500 0.500 0.500
Ru1 Ru 0.500 0.500 0.000
F1 F 0.000 0.500 0.500

---

# 16
# LaSn2BF (PBE, relaxed)
# Crystal system   tetragonal
# E_form (uncorrected)   -0.12 eV/atom
# M_tot   0.0 μB/cell
data_LaSn2BF
_chemical_formula_sum 'La1 Sn2 B1 F1'
_symmetry_space_group_name_H-M 'P 4/m m m'
_symmetry_Int_Tables_number 123
_symmetry_space_group_name_Hall '-P 4 2'
_cell_length_a 4.722
_cell_length_b 4.722
_cell_length_c 4.912
_cell_angle_alpha 90.00
_cell_angle_beta 90.00
_cell_angle_gamma 90.00
loop_
_atom_site_label
_atom_site_type_symbol
_atom_site_fract_x
_atom_site_fract_y
_atom_site_fract_z
La1 La 0.000 0.000 0.000
Sn1 Sn 0.000 0.500 0.500
B1 B 0.500 0.500 0.000
F1 F 0.500 0.500 0.500